1.
## Na4AcTm3Te8 (PBE)

Data for crystalline Na4AcTm3Te8 at its relaxed geometry.

Summary:
energy relative to the elements, uncorrected = -1.3021 eV per atom
symmetry = R-3m (166)

Lattice parameters (Å, degrees): 9.178 9.178 9.178 58.57 58.57 58.57
Positions (direct):
Na: 0.000 0.000 0.000
Na: 0.000 0.500 0.500
Na: 0.500 0.000 0.500
Na: 0.500 0.500 0.000
Ac: 0.500 0.500 0.500
Tm: 0.000 0.000 0.500
Tm: 0.000 0.500 0.000
Tm: 0.500 0.000 0.000
Te: 0.227 0.754 0.754
Te: 0.242 0.242 0.242
Te: 0.246 0.246 0.773
Te: 0.246 0.773 0.246
Te: 0.754 0.227 0.754
Te: 0.754 0.754 0.227
Te: 0.758 0.758 0.758
Te: 0.773 0.246 0.246

***

2.
## Ba2ScNi (PBE)

Data for crystalline Ba2ScNi at its relaxed geometry.

Summary:
DOS(E_F) = 4.9 states/eV/f.u.
symmetry = R-3m (166)
total DFT energy (no corrections) = -14.263 eV per cell

Lattice parameters (Å, degrees): 10.357 10.357 10.357 22.76 22.76 22.76
Positions (direct):
Ba: 0.230 0.230 0.230
Ba: 0.770 0.770 0.770
Sc: 0.000 0.000 0.000
Ni: 0.500 0.500 0.500

***

3.
## TbScPt2 (PBE)

Data for crystalline TbScPt2 at its relaxed geometry.

Summary:
DOS(E_F) = 2.7 states/eV/f.u.
symmetry = P4/mmm (123)
total DFT energy (no corrections) = -27.838 eV per cell

Lattice parameters (Å, degrees): 3.348 3.348 7.032 90.00 90.00 90.00
Positions (direct):
Tb: 0.000 0.000 0.000
Sc: 0.000 0.000 0.500
Pt: 0.500 0.500 0.274
Pt: 0.500 0.500 0.726